A plane-wave DFT calculation with PBE was carried out for crystalline BaCuB4 at its relaxed geometry.

Properties
Crystal system ... orthorhombic
VASP energy ... -4.841 eV per atom

Cell and atoms, written as POSCAR:
```
BaCuB4
1.0
-1.5439 2.6775 4.7172
1.5439 -2.6775 4.7172
1.5439 2.6775 -4.7172
Ba Cu B
1 1 4
Direct
0.0000 0.0000 0.0000 Ba
0.5000 0.5000 0.0000 Cu
0.0863 0.7523 0.3340 B
0.4183 0.7523 0.6660 B
0.5817 0.2477 0.3340 B
0.9137 0.2477 0.6660 B
```